#one
The following is a GGA-PBE calculation of a relaxed MoIrW2 crystal, from Alexandria.

The calculation puts the total magnetization at 0.0 μB/cell. The calculation puts the density of states at the Fermi level at 0.69 states/eV per atom.

The space group is C2/m (No. 12) and the conventional cell measures 9.369, 2.751 and 4.947 Å, with angles of 90.00, 98.87 and 90.00 degrees. The distinct sites, in fractional coordinates, are Mo at (0.000, 0.000, 0.000), Ir at (0.000, 0.500, 0.500) and W at (0.240, 0.000, 0.743).



#two
The following is a GGA-PBE calculation of a relaxed MoIrW2 crystal, from Alexandria.

The calculation puts the total magnetization at 0.0 μB/cell. The calculation puts the density of states at the Fermi level at 0.92 states/eV per atom.

The space group is P2/m (No. 10) and the conventional cell measures 2.729, 4.438 and 5.262 Å, with angles of 90.00, 99.42 and 90.00 degrees. The distinct sites, in fractional coordinates, are Mo at (0.000, 0.000, 0.000), Ir at (0.500, 0.000, 0.500) and W at (0.222, 0.500, 0.752).



#three
The following is a GGA-PBE calculation of a relaxed MoIrW2 crystal, from Alexandria.

The calculation puts the total magnetization at 0.0 μB/cell. The calculation puts the density of states at the Fermi level at 1.00 states/eV per atom.

The space group is I-42d (No. 122) and the conventional cell measures 5.761, 5.761 and 11.408 Å, with angles of 90.00, 90.00 and 90.00 degrees. The distinct sites, in fractional coordinates, are Mo at (0.000, 0.000, 0.000), Ir at (0.000, 0.000, 0.500) and W at (0.240, 0.250, 0.625).



#four
The following is a GGA-PBE calculation of a relaxed MoIrW2 crystal, from Alexandria.

The calculation puts the total magnetization at 0.0 μB/cell. The calculation puts the density of states at the Fermi level at 1.00 states/eV per atom.

The space group is I4/mmm (No. 139) and the conventional cell measures 3.952, 3.952 and 8.053 Å, with angles of 90.00, 90.00 and 90.00 degrees. The distinct sites, in fractional coordinates, are Mo at (0.000, 0.000, 0.000), Ir at (0.000, 0.000, 0.500) and W at (0.000, 0.500, 0.250).



Relative energy table, unit kJ/mol of atoms: #one 0.0; #two 2.8; #three 160.8; #four 0.9



#one
The following is a GGA-PBE calculation of a relaxed MoIr4W crystal, from Alexandria.

The calculation puts the total magnetization at 0.0 μB/cell. The calculation puts the density of states at the Fermi level at 0.80 states/eV per atom.

The space group is C2/m (No. 12) and the conventional cell measures 11.941, 2.786 and 5.555 Å, with angles of 90.00, 103.38 and 90.00 degrees. The distinct sites, in fractional coordinates, are Mo at (0.000, 0.000, 0.000), Ir at (0.162, 0.500, 0.831), Ir at (0.163, 0.500, 0.331) and W at (0.000, 0.000, 0.500).



#two
The following is a GGA-PBE calculation of a relaxed MoIr4W crystal, from Alexandria.

The calculation puts the total magnetization at 0.0 μB/cell. The calculation puts the density of states at the Fermi level at 1.43 states/eV per atom.

The space group is F-43m (No. 216) and the conventional cell measures 7.224, 7.224 and 7.224 Å, with angles of 90.00, 90.00 and 90.00 degrees. The distinct sites, in fractional coordinates, are Mo at (0.000, 0.000, 0.000), Ir at (0.125, 0.125, 0.375) and W at (0.250, 0.250, 0.750).



Relative energy table, unit kJ/mol of atoms: #one 0.0; #two 45.6



#one
The following is a GGA-PBE calculation of a relaxed Mo3IrW crystal, from Alexandria.

The calculation puts the total magnetization at 0.0 μB/cell. The calculation puts the density of states at the Fermi level at 1.17 states/eV per atom.

The space group is Pm-3m (No. 221) and the conventional cell measures 4.667, 4.667 and 4.667 Å, with angles of 90.00, 90.00 and 90.00 degrees. The distinct sites, in fractional coordinates, are Mo at (0.000, 0.000, 0.500), Ir at (0.000, 0.000, 0.000) and W at (0.500, 0.500, 0.500).



#two
The following is a GGA-PBE calculation of a relaxed Mo3IrW crystal, from Alexandria.

The calculation puts the total magnetization at 0.0 μB/cell. The calculation puts the density of states at the Fermi level at 1.79 states/eV per atom.

The space group is Pm-3m (No. 221) and the conventional cell measures 4.655, 4.655 and 4.655 Å, with angles of 90.00, 90.00 and 90.00 degrees. The distinct sites, in fractional coordinates, are Mo at (0.000, 0.000, 0.500), Ir at (0.500, 0.500, 0.500) and W at (0.000, 0.000, 0.000).



Relative energy table, unit kJ/mol of atoms: #one 0.0; #two 8.2



#one
The following is a GGA-PBE calculation of a relaxed YMoIr2 crystal, from Alexandria.

The calculation puts the total magnetization at 0.0 μB/cell. The calculation puts the density of states at the Fermi level at 0.71 states/eV per atom.

The space group is Pm (No. 6) and the conventional cell measures 2.985, 4.673 and 5.096 Å, with angles of 90.00, 99.18 and 90.00 degrees. The distinct sites, in fractional coordinates, are Y at (0.000, 0.000, 0.000), Mo at (0.221, 0.500, 0.603), Ir at (0.536, 0.500, 0.124) and Ir at (0.612, 0.000, 0.487).



#two
The following is a GGA-PBE calculation of a relaxed YMoIr2 crystal, from Alexandria.

The calculation puts the total magnetization at 0.0 μB/cell. The calculation puts the density of states at the Fermi level at 1.52 states/eV per atom.

The space group is R3m (No. 160, hexagonal axes) and the conventional cell measures 2.8898, 2.8898 and 28.8310 Å, with angles of 90.00, 90.00 and 120.00 degrees. The distinct sites, in fractional coordinates, are Y at (0.0000, 0.0000, 0.0000), Mo at (0.0000, 0.0000, 0.2362), Ir at (0.0000, 0.0000, 0.4978) and Ir at (0.0000, 0.0000, 0.7512).



Relative energy table, unit kJ/mol of atoms: #one 0.0; #two 54.1



#one
The following is a GGA-PBE calculation of a relaxed YMoIr2 crystal, from Alexandria.

The calculation puts the total magnetization at 0.0 μB/cell. The calculation puts the density of states at the Fermi level at 1.34 states/eV per atom.

The space group is I-42d (No. 122) and the conventional cell measures 7.405, 7.405 and 5.696 Å, with angles of 90.00, 90.00 and 90.00 degrees. The distinct sites, in fractional coordinates, are Y at (0.000, 0.000, 0.000), Mo at (0.000, 0.000, 0.500) and Ir at (0.202, 0.250, 0.625).



#two
The following is a GGA-PBE calculation of a relaxed YMoIr2 crystal, from Alexandria.

The calculation puts the total magnetization at 1.2 μB/cell. The calculation puts the density of states at the Fermi level at 1.28 states/eV per atom.

The space group is P4/mmm (No. 123) and the conventional cell measures 4.291, 4.291 and 3.794 Å, with angles of 90.00, 90.00 and 90.00 degrees. The distinct sites, in fractional coordinates, are Y at (0.000, 0.000, 0.000), Mo at (0.500, 0.500, 0.000) and Ir at (0.000, 0.500, 0.500).



#three
The following is a GGA-PBE calculation of a relaxed YMoIr2 crystal, from Alexandria.

The calculation puts the total magnetization at 0.0 μB/cell. The calculation puts the density of states at the Fermi level at 0.75 states/eV per atom.

The space group is I-4m2 (No. 119) and the conventional cell measures 4.008, 4.008 and 8.650 Å, with angles of 90.00, 90.00 and 90.00 degrees. The distinct sites, in fractional coordinates, are Y at (0.000, 0.000, 0.000), Mo at (0.000, 0.500, 0.750), Ir at (0.000, 0.000, 0.500) and Ir at (0.000, 0.500, 0.250).



#four
The following is a GGA-PBE calculation of a relaxed YMoIr2 crystal, from Alexandria.

The calculation puts the total magnetization at 0.0 μB/cell. The calculation puts the density of states at the Fermi level at 0.52 states/eV per atom.

The space group is Pmmm (No. 47) and the conventional cell measures 2.972, 2.984 and 7.817 Å, with angles of 90.00, 90.00 and 90.00 degrees. The distinct sites, in fractional coordinates, are Y at (0.000, 0.000, 0.000), Mo at (0.000, 0.000, 0.500) and Ir at (0.500, 0.500, 0.281).



Relative energy table, unit kJ/mol of atoms: #one 41.1; #two 22.3; #three 25.8; #four 0.0



#one
The following is a GGA-PBE calculation of a relaxed Y2Mo2Ir crystal, from Alexandria.

The calculation puts the total magnetization at 0.0 μB/cell. The calculation puts the density of states at the Fermi level at 1.08 states/eV per atom.

The space group is I4/mmm (No. 139) and the conventional cell measures 3.544, 3.544 and 17.590 Å, with angles of 90.00, 90.00 and 90.00 degrees. The distinct sites, in fractional coordinates, are Y at (0.000, 0.000, 0.095), Mo at (0.000, 0.500, 0.250) and Ir at (0.000, 0.000, 0.500).



#two
The following is a GGA-PBE calculation of a relaxed Y2Mo2Ir crystal, from Alexandria.

The calculation puts the total magnetization at 0.0 μB/cell. The calculation puts the density of states at the Fermi level at 0.82 states/eV per atom.

The space group is P-1 (No. 2) and the conventional cell measures 5.622, 5.810 and 7.737 Å, with angles of 88.60, 78.28 and 61.48 degrees. The distinct sites, in fractional coordinates, are Y at (0.197, 0.022, 0.155), Y at (0.211, 0.277, 0.639), Mo at (0.239, 0.497, 0.001), Mo at (0.498, 0.386, 0.242) and Ir at (0.232, 0.776, 0.503).



Relative energy table, unit kJ/mol of atoms: #one 27.9; #two 0.0